1.
The following is a DFT calculation (PBE) of ZrScAg after structural relaxation.

```
6
Lattice="3.2135 0.0009 -0.0017 -1.6087 7.9524 -0.0009 -3.2112 0.0032 4.9863" Properties=species:S:1:pos:R:3 pbc="T T T"
Sc -0.0658 0.8024 0.1126
Ag 1.5406 3.3645 0.1120
Zr -3.2787 7.9116 2.6058
Ag -1.6722 5.2539 2.6106
Sc -0.0654 2.7955 2.6041
Zr -0.0664 5.9359 0.1162
```

polymorph energy (0 for the lowest one)	0.13	eV/f.u.
spin magnetization	0.000	μB/atom

2.
The following is a DFT calculation (PBE) of ZrScAg after structural relaxation.

```
6
Lattice="-4.4899 3.8524 -0.1449 -3.7225 2.3207 6.8566 2.6994 1.7878 0.0935" Properties=species:S:1:pos:R:3 pbc="T T T"
Sc -0.2570 2.5246 2.3447
Ag -2.9209 3.6461 1.7299
Sc -2.1951 5.3650 3.9998
Zr -4.4493 5.7144 6.2358
Zr 1.9968 2.1755 0.1085
Ag -2.2304 2.4559 4.5208
```

polymorph energy (0 for the lowest one)	0.12	eV/f.u.
spin magnetization	0.000	μB/atom

3.
The following is a DFT calculation (PBE) of ZrScAg after structural relaxation.

```
6
Lattice="6.2444 0.0191 0.0134 1.4580 6.4998 0.0147 0.8793 -0.2036 3.1995" Properties=species:S:1:pos:R:3 pbc="T T T"
Zr 4.1020 0.4875 1.2032
Ag 2.2767 2.6364 0.1159
Sc 7.3549 4.6258 2.3007
Zr 3.2564 5.4280 0.0265
Sc 0.8827 1.0863 2.1289
Ag 5.0821 3.2790 1.1139
```

polymorph energy (0 for the lowest one)	0.16	eV/f.u.
spin magnetization	0.000	μB/atom